Entry 1:
An optimized crystal structure of ReP2Pb, computed with PBE.

```
ReP2Pb
1.0
3.273 0.000 0.000
0.000 3.921 0.000
-0.940 0.000 7.113
Re P Pb
1 2 1
Direct
0.000 0.000 0.000
0.567 0.000 0.232
0.849 0.500 0.848
0.330 0.500 0.480
```

Results
DOS(E_F)	0.68	states/eV/atom
energy of formation	0.248	eV per atom
space group	Pm

=====

Entry 2:
An optimized crystal structure of TiAgTe2, computed with PBE.

```
TiAgTe2
1.0
1.940 1.120 7.539
-1.940 1.120 7.539
0.000 -2.240 7.539
Ti Ag Te
1 1 2
Direct
0.000 0.000 0.000
0.837 0.837 0.837
0.257 0.257 0.257
0.412 0.412 0.412
```

Results
DOS(E_F)	0.19	states/eV/atom
ΔE_f (raw)	-0.36	eV/atom
space group	R3m

=====

Entry 3:
An optimized crystal structure of Dy6N5O, computed with PBE.

```
Dy6N5O
1.0
2.997 -5.189 0.000
2.997 5.189 0.000
-2.001 0.000 5.651
Dy N O
6 5 1
Direct
0.078 0.416 0.748
0.246 0.246 0.254
0.416 0.078 0.748
0.584 0.922 0.252
0.754 0.754 0.746
0.922 0.584 0.252
0.000 0.000 0.500
0.167 0.833 0.000
0.333 0.667 0.500
0.667 0.333 0.500
0.833 0.167 0.000
0.500 0.500 0.000
```

Results
DOS(E_F)	0.11	states/eV/atom
ΔE_f (raw)	-1.97	eV/atom
space group	C2/m

=====

Question: Among the records above, which one has the lowest DOS(E_F)?
Answer: Dy6N5O

=====

What did the first record say?
An optimized crystal structure of ReP2Pb, computed with PBE.

```
ReP2Pb
1.0
3.273 0.000 0.000
0.000 3.921 0.000
-0.940 0.000 7.113
Re P Pb
1 2 1
Direct
0.000 0.000 0.000
0.567 0.000 0.232
0.849 0.500 0.848
0.330 0.500 0.480
```

Results
DOS(E_F)	0.68	states/eV/atom
energy of formation	0.248	eV per atom
space group	Pm

=====

Question: Among the records above, which one has the lowest DOS(E_F)?
Answer: Dy6N5O

=====

Question: What is the formula in the second record?
Answer: TiAgTe2